Entry 1:
Here is an optimized crystal structure of Cs3RbZn2F8 from Alexandria. Energies are from PBE.

Lattice parameters (Å, degrees): 6.648 6.648 8.545 90.00 90.00 120.00
Element x y z (fractional)
Cs 0.000 0.000 0.000
Cs 0.333 0.667 0.656
Cs 0.667 0.333 0.344
Rb 0.000 0.000 0.500
Zn 0.333 0.667 0.201
Zn 0.667 0.333 0.799
F 0.180 0.360 0.296
F 0.180 0.820 0.296
F 0.333 0.667 0.980
F 0.360 0.180 0.704
F 0.640 0.820 0.296
F 0.667 0.333 0.020
F 0.820 0.180 0.704
F 0.820 0.640 0.704

Results
- N(E_F) (states/eV per cell) = 0.0
- uncorrected energy (eV per atom) = -4.078
- space group = P-3m1 (164)
- crystal system = trigonal
- ΔE_f (raw) (meV per atom) = -2574.8

Entry 2:
Here is an optimized crystal structure of PRu3 from Alexandria. Energies are from PBE.

Lattice parameters (Å, degrees): 2.772 4.138 4.830 90.00 90.00 90.00
Element x y z (fractional)
P 0.000 0.000 0.000
Ru 0.000 0.500 0.419
Ru 0.500 0.000 0.591
Ru 0.500 0.500 0.960

Results
- N(E_F) (states/eV per cell) = 3.0
- uncorrected energy (eV per atom) = -8.232
- space group = Pmm2 (25)
- energy above the lowest structure with this stoichiometry (meV/atom) = 247.8
- crystal system = orthorhombic
- energy of formation from the pure elements (eV/atom) = 0.08

Entry 3:
Here is an optimized crystal structure of Zr2TeW from Alexandria. Energies are from PBE.

Lattice parameters (Å, degrees): 8.696 8.696 8.696 23.06 23.06 23.06
Element x y z (fractional)
Zr 0.245 0.245 0.245
Zr 0.755 0.755 0.755
Te 0.000 0.000 0.000
W 0.500 0.500 0.500

Results
- N(E_F) (states/eV per cell) = 2.3
- uncorrected energy (eV per atom) = -8.339
- space group = R-3m (166)
- energy above the lowest structure with this stoichiometry (meV/atom) = 153.1
- crystal system = trigonal
- ΔE_f (raw) (meV per atom) = -40.7

Entry 4:
Here is an optimized crystal structure of Li2CdIrN from Alexandria. Energies are from PBE.

Lattice parameters (Å, degrees): 5.095 5.095 3.689 90.00 90.00 90.00
Element x y z (fractional)
Li 0.000 0.500 0.000
Li 0.500 0.000 0.000
Cd 0.000 0.000 0.500
Ir 0.500 0.500 0.000
N 0.500 0.500 0.500

Results
- N(E_F) (states/eV per cell) = 1.4
- uncorrected energy (eV per atom) = -4.349
- space group = P4/mmm (123)
- energy above the lowest structure with this stoichiometry (meV/atom) = 318.4
- crystal system = tetragonal
- ΔE_f (raw) (meV per atom) = 37.2

Entry 5:
Here is an optimized crystal structure of Er2SbI3 from Alexandria. Energies are from PBE.

Lattice parameters (Å, degrees): 10.952 10.952 15.231 131.48 131.48 22.94
Element x y z (fractional)
Er 0.091 0.091 0.468
Er 0.366 0.366 0.170
Er 0.634 0.634 0.830
Er 0.909 0.909 0.532
Sb 0.096 0.096 0.670
Sb 0.904 0.904 0.330
I 0.172 0.172 0.015
I 0.274 0.274 0.391
I 0.453 0.453 0.726
I 0.547 0.547 0.274
I 0.726 0.726 0.609
I 0.828 0.828 0.985

Results
- uncorrected energy (eV per atom) = -4.102
- space group = C2/m (12)
- crystal system = monoclinic
- ΔE_f (raw) (meV per atom) = -1118.8

Entry 6:
Here is an optimized crystal structure of TbPm3DySc from Alexandria. Energies are from PBE.

Lattice parameters (Å, degrees): 7.921 5.048 10.060 90.00 108.59 90.00
Element x y z (fractional)
Tb 0.176 0.250 0.297
Tb 0.824 0.750 0.703
Pm 0.169 0.750 0.045
Pm 0.172 0.250 0.790
Pm 0.176 0.750 0.541
Pm 0.824 0.250 0.459
Pm 0.828 0.750 0.210
Pm 0.831 0.250 0.955
Dy 0.498 0.250 0.128
Dy 0.502 0.750 0.872
Sc 0.499 0.750 0.380
Sc 0.501 0.250 0.620

Results
- N(E_F) (states/eV per cell) = 18.3
- uncorrected energy (eV per atom) = -4.929
- space group = P2_1/m (11)
- crystal system = monoclinic
- energy of formation from the pure elements (eV/atom) = 0.04

Entry 7:
Here is an optimized crystal structure of Rb8PdAu2 from Alexandria. Energies are from PBE.

Lattice parameters (Å, degrees): 10.626 10.626 10.626 148.37 122.73 66.91
Element x y z (fractional)
Rb 0.120 0.339 0.781
Rb 0.131 0.131 0.000
Rb 0.317 0.000 0.317
Rb 0.442 0.661 0.781
Rb 0.558 0.339 0.219
Rb 0.683 0.000 0.683
Rb 0.869 0.869 0.000
Rb 0.880 0.661 0.219
Pd 0.000 0.500 0.500
Au 0.308 0.808 0.500
Au 0.692 0.192 0.500

Results
- N(E_F) (states/eV per cell) = 9.3
- uncorrected energy (eV per atom) = -1.761
- space group = Immm (71)
- crystal system = orthorhombic
- energy of formation from the pure elements (eV/atom) = 0.01

Entry 8:
Here is an optimized crystal structure of CsBeN2O from Alexandria. Energies are from PBE.

Lattice parameters (Å, degrees): 4.346 4.346 4.274 90.00 90.00 90.00
Element x y z (fractional)
Cs 0.000 0.000 0.000
Be 0.500 0.500 0.500
N 0.000 0.500 0.000
N 0.500 0.000 0.000
O 0.000 0.000 0.500

Results
- N(E_F) (states/eV per cell) = 3.5
- uncorrected energy (eV per atom) = -2.530
- space group = P4/mmm (123)
- crystal system = tetragonal
- ΔE_f (raw) (meV per atom) = 2707.6